A plane-wave DFT calculation with GGA+U was carried out for EuFeO2 after structural relaxation.

The density of states at the Fermi level comes out at 1.33 states/eV/atom. The size of the total moment comes out at 10.80 μB/cell. The calculation puts the total energy at -7.937 eV per atom.

The space group is P4/mmm (No. 123) and the conventional cell measures 2.9173, 2.9173 and 5.7885 Å, with angles of 90.00, 90.00 and 90.00 degrees. The distinct sites, in fractional coordinates, are Eu at (0.0000, 0.0000, 0.0000), Fe at (0.0000, 0.0000, 0.5000) and O at (0.5000, 0.5000, 0.2680).